A plane-wave DFT calculation with PBE-GGA was carried out for HfZnMo3 after structural relaxation.

Summary:
Calculated volume ... 96.62 Å³/cell
ΔE_f ... 6.61 eV/f.u.
SG ... Pm-3m, No. 221
Polymorph energy (0 for the lowest one) ... 0.000 eV/atom
Density of states at the Fermi level ... 1.24 states/eV per atom

Cell lengths 4.589, 4.589, 4.589 Å; angles 90.00, 90.00, 90.00 degrees
Sites, in units of the cell vectors:
Hf  0.000  0.000  0.000
Zn  0.500  0.500  0.500
Mo  0.000  0.500  0.500
Mo  0.500  0.000  0.500
Mo  0.500  0.500  0.000

=====

A plane-wave DFT calculation with PBE-GGA was carried out for Hf2ZnMo after structural relaxation.

Summary:
Calculated volume ... 73.29 Å³/cell
ΔE_f ... -0.53 eV/f.u.
SG ... Fm-3m, No. 225
Polymorph energy (0 for the lowest one) ... 0.058 eV/atom
Density of states at the Fermi level ... 0.93 states/eV per atom

Cell lengths 4.697, 4.697, 4.697 Å; angles 60.00, 60.00, 60.00 degrees
Sites, in units of the cell vectors:
Hf  0.250  0.250  0.250
Hf  0.750  0.750  0.750
Zn  0.000  0.000  0.000
Mo  0.500  0.500  0.500